Here is an optimized crystal structure of GaAgHg from Alexandria. Energies are from PBE.

Cell lengths 6.4163, 6.4163, 6.4163 Å; angles 151.31, 151.31, 41.02 degrees
Atoms (fractional coordinates):
Ga1 0.0000 0.0000 0.0000
Ag1 0.3546 0.3546 0.0000
Hg1 0.6820 0.6820 0.0000

Values from the calculation:
E above lowest polymorph = 23 meV/atom
E_form = 7.41 kJ/mol of atoms
SG = No. 107
Size of the total moment = 0.0 μB/cell